Entry 1:
! PBE-GGA Tl2Pd6Pt, relaxed; values from VASP
! Energy above the most stable polymorph in this dataset: 129.5 meV per atom
! Energy of formation: 0.024 eV per atom
! Space group: C2/m, No. 12
! DOS(E_F): 6.408 states/eV per cell
! Density: 12.6 g/cm³
&SYSTEM
  ibrav = 0, nat = 9, ntyp = 3
/
ATOMIC_SPECIES
Tl 204.38 Tl.upf
Pd 106.42 Pd.upf
Pt 195.08 Pt.upf
CELL_PARAMETERS angstrom
4.938 -2.711 0.000
4.938 2.711 0.000
-1.718 0.000 6.095
ATOMIC_POSITIONS crystal
Tl 0.158 0.158 0.148
Tl 0.842 0.842 0.852
Pd 0.160 0.673 0.293
Pd 0.309 0.309 0.602
Pd 0.327 0.840 0.707
Pd 0.673 0.160 0.293
Pd 0.691 0.691 0.398
Pd 0.840 0.327 0.707
Pt 0.500 0.500 0.000

Entry 2:
! PBE-GGA TlPd6Pt3, relaxed; values from VASP
! Energy above the most stable polymorph in this dataset: 0.0 meV per atom
! Energy of formation: 0.095 eV per atom
! Space group: C2/m, No. 12
! DOS(E_F): 11.546 states/eV per cell
! Density: 13.3 g/cm³
&SYSTEM
  ibrav = 0, nat = 10, ntyp = 3
/
ATOMIC_SPECIES
Tl 204.38 Tl.upf
Pd 106.42 Pd.upf
Pt 195.08 Pt.upf
CELL_PARAMETERS angstrom
6.874 -2.726 0.000
6.874 2.726 0.000
-0.041 0.000 4.765
ATOMIC_POSITIONS crystal
Tl 0.000 0.000 0.000
Pd 0.091 0.597 0.661
Pd 0.345 0.345 0.168
Pd 0.403 0.909 0.339
Pd 0.597 0.091 0.661
Pd 0.655 0.655 0.832
Pd 0.909 0.403 0.339
Pt 0.182 0.182 0.833
Pt 0.500 0.500 0.500
Pt 0.818 0.818 0.167

Entry 3:
! PBE-GGA TlPdPt3, relaxed; values from VASP
! Energy above the most stable polymorph in this dataset: 483.3 meV per atom
! Energy of formation: 1.531 eV per atom
! Space group: Pm-3m, No. 221
! DOS(E_F): 7.610 states/eV per cell
! Density: 11.9 g/cm³
&SYSTEM
  ibrav = 0, nat = 5, ntyp = 3
/
ATOMIC_SPECIES
Tl 204.38 Tl.upf
Pd 106.42 Pd.upf
Pt 195.08 Pt.upf
CELL_PARAMETERS angstrom
5.006 0.000 0.000
0.000 5.006 0.000
0.000 0.000 5.006
ATOMIC_POSITIONS crystal
Tl 0.000 0.000 0.000
Pd 0.500 0.500 0.500
Pt 0.000 0.000 0.500
Pt 0.000 0.500 0.000
Pt 0.500 0.000 0.000

Entry 4:
! PBE-GGA Tl4Pd7Pt, relaxed; values from VASP
! Energy of formation: 0.027 eV per atom
! Space group: C2/m, No. 12
! DOS(E_F): 9.696 states/eV per cell
! Density: 12.3 g/cm³
&SYSTEM
  ibrav = 0, nat = 12, ntyp = 3
/
ATOMIC_SPECIES
Tl 204.38 Tl.upf
Pd 106.42 Pd.upf
Pt 195.08 Pt.upf
CELL_PARAMETERS angstrom
5.533 -2.526 0.000
5.533 2.526 0.000
-4.942 0.000 8.463
ATOMIC_POSITIONS crystal
Tl 0.089 0.089 0.276
Tl 0.253 0.253 0.829
Tl 0.747 0.747 0.171
Tl 0.911 0.911 0.724
Pd 0.000 0.000 0.500
Pd 0.137 0.137 0.023
Pd 0.298 0.298 0.581
Pd 0.422 0.422 0.181
Pd 0.578 0.578 0.819
Pd 0.702 0.702 0.419
Pd 0.863 0.863 0.977
Pt 0.500 0.500 0.500

Entry 5:
! PBE-GGA Tl5Pd12Pt2, relaxed; values from VASP
! Energy of formation: -0.083 eV per atom
! Space group: C2/m, No. 12
! DOS(E_F): 14.592 states/eV per cell
! Density: 13.1 g/cm³
&SYSTEM
  ibrav = 0, nat = 19, ntyp = 3
/
ATOMIC_SPECIES
Tl 204.38 Tl.upf
Pd 106.42 Pd.upf
Pt 195.08 Pt.upf
CELL_PARAMETERS angstrom
6.574 -3.790 0.000
6.574 3.790 0.000
-0.159 0.000 6.816
ATOMIC_POSITIONS crystal
Tl 0.000 0.000 0.000
Tl 0.243 0.243 0.928
Tl 0.311 0.311 0.466
Tl 0.689 0.689 0.534
Tl 0.757 0.757 0.072
Pd 0.029 0.649 0.740
Pd 0.098 0.098 0.600
Pd 0.178 0.597 0.142
Pd 0.351 0.971 0.260
Pd 0.403 0.822 0.858
Pd 0.444 0.444 0.820
Pd 0.556 0.556 0.180
Pd 0.597 0.178 0.142
Pd 0.649 0.029 0.740
Pd 0.822 0.403 0.858
Pd 0.902 0.902 0.400
Pd 0.971 0.351 0.260
Pt 0.306 0.694 0.500
Pt 0.694 0.306 0.500

Entry 6:
! PBE-GGA TlPd6Pt3, relaxed; values from VASP
! Energy above the most stable polymorph in this dataset: 117.3 meV per atom
! Energy of formation: 0.212 eV per atom
! Space group: C2/m, No. 12
! DOS(E_F): 14.432 states/eV per cell
! Density: 13.3 g/cm³
&SYSTEM
  ibrav = 0, nat = 10, ntyp = 3
/
ATOMIC_SPECIES
Tl 204.38 Tl.upf
Pd 106.42 Pd.upf
Pt 195.08 Pt.upf
CELL_PARAMETERS angstrom
3.612 -3.642 0.000
3.612 3.642 0.000
-1.657 0.000 6.799
ATOMIC_POSITIONS crystal
Tl 0.000 0.000 0.000
Pd 0.119 0.119 0.387
Pd 0.177 0.558 0.172
Pd 0.442 0.823 0.828
Pd 0.558 0.177 0.172
Pd 0.823 0.442 0.828
Pd 0.881 0.881 0.613
Pt 0.304 0.304 0.778
Pt 0.500 0.500 0.500
Pt 0.696 0.696 0.222

Entry 7:
! PBE-GGA Tl3Pd6Pt, relaxed; values from VASP
! Energy above the most stable polymorph in this dataset: 0.0 meV per atom
! Energy of formation: -0.138 eV per atom
! Space group: P2_1/m, No. 11
! DOS(E_F): 8.029 states/eV per cell
! Density: 13.5 g/cm³
&SYSTEM
  ibrav = 0, nat = 20, ntyp = 3
/
ATOMIC_SPECIES
Tl 204.38 Tl.upf
Pd 106.42 Pd.upf
Pt 195.08 Pt.upf
CELL_PARAMETERS angstrom
8.172 0.000 0.000
0.000 4.686 0.000
-3.371 0.000 9.277
ATOMIC_POSITIONS crystal
Tl 0.054 0.250 0.230
Tl 0.307 0.250 0.030
Tl 0.333 0.750 0.374
Tl 0.667 0.250 0.626
Tl 0.693 0.750 0.970
Tl 0.946 0.750 0.770
Pd 0.111 0.750 0.078
Pd 0.121 0.250 0.733
Pd 0.285 0.250 0.530
Pd 0.309 0.750 0.859
Pd 0.488 0.750 0.667
Pd 0.500 0.250 0.834
Pd 0.500 0.750 0.166
Pd 0.512 0.250 0.333
Pd 0.691 0.250 0.141
Pd 0.715 0.750 0.470
Pd 0.879 0.750 0.267
Pd 0.889 0.250 0.922
Pt 0.097 0.750 0.549
Pt 0.903 0.250 0.451

Entry 8:
! PBE-GGA TlPdPt3, relaxed; values from VASP
! Energy above the most stable polymorph in this dataset: 0.0 meV per atom
! Energy of formation: 1.048 eV per atom
! Space group: Pm-3m, No. 221
! DOS(E_F): 7.334 states/eV per cell
! Density: 12.6 g/cm³
&SYSTEM
  ibrav = 0, nat = 5, ntyp = 3
/
ATOMIC_SPECIES
Tl 204.38 Tl.upf
Pd 106.42 Pd.upf
Pt 195.08 Pt.upf
CELL_PARAMETERS angstrom
4.901 0.000 0.000
0.000 4.901 0.000
0.000 0.000 4.901
ATOMIC_POSITIONS crystal
Tl 0.000 0.000 0.000
Pd 0.500 0.500 0.500
Pt 0.000 0.500 0.500
Pt 0.500 0.000 0.500
Pt 0.500 0.500 0.000

Entry 9:
! PBE-GGA Tl4Pd15Pt, relaxed; values from VASP
! Energy of formation: -0.151 eV per atom
! Space group: P4/mmm, No. 123
! DOS(E_F): 25.254 states/eV per cell
! Density: 13.0 g/cm³
&SYSTEM
  ibrav = 0, nat = 20, ntyp = 3
/
ATOMIC_SPECIES
Tl 204.38 Tl.upf
Pd 106.42 Pd.upf
Pt 195.08 Pt.upf
CELL_PARAMETERS angstrom
4.040 0.000 0.000
0.000 4.040 0.000
0.000 0.000 20.458
ATOMIC_POSITIONS crystal
Tl 0.000 0.000 0.101
Tl 0.000 0.000 0.304
Tl 0.000 0.000 0.696
Tl 0.000 0.000 0.899
Pd 0.000 0.500 0.000
Pd 0.000 0.500 0.204
Pd 0.000 0.500 0.406
Pd 0.000 0.500 0.594
Pd 0.000 0.500 0.796
Pd 0.500 0.000 0.000
Pd 0.500 0.000 0.204
Pd 0.500 0.000 0.406
Pd 0.500 0.000 0.594
Pd 0.500 0.000 0.796
Pd 0.500 0.500 0.102
Pd 0.500 0.500 0.306
Pd 0.500 0.500 0.500
Pd 0.500 0.500 0.694
Pd 0.500 0.500 0.898
Pt 0.000 0.000 0.500

Entry 10:
! PBE-GGA Tl3Pd2Pt, relaxed; values from VASP
! Energy of formation: -0.158 eV per atom
! Space group: R-3c, No. 167
! DOS(E_F): 3.582 states/eV per cell
! Density: 12.6 g/cm³
&SYSTEM
  ibrav = 0, nat = 12, ntyp = 3
/
ATOMIC_SPECIES
Tl 204.38 Tl.upf
Pd 106.42 Pd.upf
Pt 195.08 Pt.upf
CELL_PARAMETERS angstrom
3.707 2.140 5.635
-3.707 2.140 5.635
0.000 -4.280 5.635
ATOMIC_POSITIONS crystal
Tl 0.082 0.750 0.418
Tl 0.250 0.582 0.918
Tl 0.418 0.082 0.750
Tl 0.582 0.918 0.250
Tl 0.750 0.418 0.082
Tl 0.918 0.250 0.582
Pd 0.166 0.166 0.166
Pd 0.334 0.334 0.334
Pd 0.666 0.666 0.666
Pd 0.834 0.834 0.834
Pt 0.000 0.000 0.000
Pt 0.500 0.500 0.500

Entry 11:
! PBE-GGA TlPd4Pt4, relaxed; values from VASP
! Energy of formation: -0.079 eV per atom
! Space group: I4/mmm, No. 139
! DOS(E_F): 11.769 states/eV per cell
! Density: 16.1 g/cm³
&SYSTEM
  ibrav = 0, nat = 9, ntyp = 3
/
ATOMIC_SPECIES
Tl 204.38 Tl.upf
Pd 106.42 Pd.upf
Pt 195.08 Pt.upf
CELL_PARAMETERS angstrom
-4.294 4.294 1.969
4.294 -4.294 1.969
4.294 4.294 -1.969
ATOMIC_POSITIONS crystal
Tl 0.000 0.000 0.000
Pd 0.331 0.331 0.662
Pd 0.331 0.669 0.000
Pd 0.669 0.331 0.000
Pd 0.669 0.669 0.338
Pt 0.000 0.337 0.337
Pt 0.000 0.663 0.663
Pt 0.337 0.000 0.337
Pt 0.663 0.000 0.663

Entry 12:
! PBE-GGA Tl4Pd5Pt4, relaxed; values from VASP
! Energy of formation: -0.094 eV per atom
! Space group: I4/m, No. 87
! DOS(E_F): 5.446 states/eV per cell
! Density: 15.3 g/cm³
&SYSTEM
  ibrav = 0, nat = 13, ntyp = 3
/
ATOMIC_SPECIES
Tl 204.38 Tl.upf
Pd 106.42 Pd.upf
Pt 195.08 Pt.upf
CELL_PARAMETERS angstrom
-5.340 5.340 2.026
5.340 -5.340 2.026
5.340 5.340 -2.026
ATOMIC_POSITIONS crystal
Tl 0.129 0.230 0.359
Tl 0.230 0.871 0.100
Tl 0.770 0.129 0.900
Tl 0.871 0.770 0.641
Pd 0.000 0.000 0.000
Pd 0.305 0.441 0.746
Pd 0.441 0.695 0.136
Pd 0.559 0.305 0.864
Pd 0.695 0.559 0.254
Pt 0.085 0.602 0.686
Pt 0.398 0.085 0.483
Pt 0.602 0.915 0.517
Pt 0.915 0.398 0.314